[1]
Material: LaBeGaNi6
Method: DFT, GGA-PBE
State: optimized geometry

Values from the calculation:
DFT formation energy: -0.191 eV/atom

Cell: 7.618 5.038 7.997 Å, 108.36 118.45 90.00°
Atoms (fractional coordinates):
La (0.753, 0.503, 0.506)
La (0.247, 0.497, 0.494)
Be (0.500, 0.500, 0.000)
Be (0.500, 0.000, 0.000)
Ga (0.500, 0.000, 0.500)
Ga (0.000, 0.000, 0.500)
Ni (0.636, 0.886, 0.272)
Ni (0.003, 0.253, 0.006)
Ni (0.851, 0.092, 0.181)
Ni (0.330, 0.589, 0.181)
Ni (0.330, 0.092, 0.181)
Ni (0.851, 0.589, 0.181)
Ni (0.364, 0.114, 0.728)
Ni (0.997, 0.747, 0.994)
Ni (0.149, 0.908, 0.819)
Ni (0.670, 0.411, 0.819)
Ni (0.670, 0.908, 0.819)
Ni (0.149, 0.411, 0.819)

=====

[2]
Material: La2BeGa3Ni12
Method: DFT, GGA-PBE
State: optimized geometry

Values from the calculation:
DFT formation energy: -0.052 eV/atom

Cell: 8.668 8.668 8.668 Å, 42.25 42.25 42.25°
Atoms (fractional coordinates):
La (0.662, 0.662, 0.662)
La (0.338, 0.338, 0.338)
Be (0.000, 0.000, 0.000)
Ga (0.500, 0.000, 0.000)
Ga (0.000, 0.500, 0.000)
Ga (0.000, 0.000, 0.500)
Ni (0.421, 0.421, 0.810)
Ni (0.934, 0.934, 0.333)
Ni (0.333, 0.934, 0.934)
Ni (0.810, 0.421, 0.421)
Ni (0.934, 0.333, 0.934)
Ni (0.421, 0.810, 0.421)
Ni (0.579, 0.579, 0.190)
Ni (0.066, 0.066, 0.667)
Ni (0.667, 0.066, 0.066)
Ni (0.190, 0.579, 0.579)
Ni (0.066, 0.667, 0.066)
Ni (0.579, 0.190, 0.579)

=====

[3]
Material: La2BeGaO6
Method: DFT, GGA-PBE
State: optimized geometry

Values from the calculation:
Raw formation energy: -2506 meV/atom

Cell: 5.333 5.333 9.604 Å, 73.88 73.88 60.00°
Atoms (fractional coordinates):
La (0.870, 0.870, 0.391)
La (0.130, 0.130, 0.609)
La (0.711, 0.711, 0.868)
La (0.289, 0.289, 0.132)
Be (0.000, 0.000, 0.000)
Be (0.500, 0.500, 0.500)
Ga (0.588, 0.588, 0.236)
Ga (0.412, 0.412, 0.764)
O (0.868, 0.376, 0.379)
O (0.376, 0.868, 0.379)
O (0.376, 0.376, 0.379)
O (0.132, 0.624, 0.621)
O (0.624, 0.132, 0.621)
O (0.624, 0.624, 0.621)
O (0.719, 0.200, 0.881)
O (0.200, 0.719, 0.881)
O (0.200, 0.200, 0.881)
O (0.281, 0.800, 0.119)
O (0.800, 0.281, 0.119)
O (0.800, 0.800, 0.119)

=====

[4]
Material: LaBe2GaPd2
Method: DFT, GGA-PBE
State: optimized geometry

Values from the calculation:
DFT formation energy: -0.202 eV/atom

Cell: 4.230 4.230 5.799 Å, 90.00 90.00 90.00°
Atoms (fractional coordinates):
La (0.000, 0.000, 0.500)
Be (0.500, 0.000, 0.000)
Be (0.000, 0.500, 0.000)
Ga (0.000, 0.000, 0.000)
Pd (0.500, 0.500, 0.757)
Pd (0.500, 0.500, 0.243)

=====

[5]
Material: La3Be2GaPd9
Method: DFT, GGA-PBE
State: optimized geometry

Values from the calculation:
DFT formation energy: -0.703 eV/atom

Cell: 5.927 5.927 9.325 Å, 90.00 90.00 120.00°
Atoms (fractional coordinates):
La (0.333, 0.667, 0.660)
La (0.000, 0.000, 0.000)
La (0.667, 0.333, 0.340)
Be (0.333, 0.667, 0.152)
Be (0.667, 0.333, 0.848)
Ga (0.000, 0.000, 0.500)
Pd (0.835, 0.165, 0.702)
Pd (0.835, 0.671, 0.702)
Pd (0.329, 0.165, 0.702)
Pd (0.671, 0.835, 0.298)
Pd (0.165, 0.329, 0.298)
Pd (0.165, 0.835, 0.298)
Pd (0.500, 0.000, 0.000)
Pd (0.000, 0.500, 0.000)
Pd (0.500, 0.500, 0.000)

=====

[6]
Material: LaBeGaPd6
Method: DFT, GGA-PBE
State: optimized geometry

Values from the calculation:
DFT formation energy: -0.390 eV/atom

Cell: 6.225 9.039 7.874 Å, 125.02 113.28 90.00°
Atoms (fractional coordinates):
La (0.815, 0.565, 0.630)
La (0.185, 0.435, 0.370)
Be (0.500, 0.500, 0.000)
Be (0.500, 0.000, 0.000)
Ga (0.500, 0.000, 0.500)
Ga (0.000, 0.000, 0.500)
Pd (0.451, 0.701, 0.901)
Pd (0.933, 0.183, 0.866)
Pd (0.884, 0.117, 0.254)
Pd (0.370, 0.637, 0.254)
Pd (0.370, 0.117, 0.254)
Pd (0.884, 0.637, 0.254)
Pd (0.549, 0.299, 0.099)
Pd (0.067, 0.817, 0.134)
Pd (0.116, 0.883, 0.746)
Pd (0.630, 0.363, 0.746)
Pd (0.630, 0.883, 0.746)
Pd (0.116, 0.363, 0.746)

=====

What did the fifth record say?
Material: La3Be2GaPd9
Method: DFT, GGA-PBE
State: optimized geometry

Values from the calculation:
DFT formation energy: -0.703 eV/atom

Cell: 5.927 5.927 9.325 Å, 90.00 90.00 120.00°
Atoms (fractional coordinates):
La (0.333, 0.667, 0.660)
La (0.000, 0.000, 0.000)
La (0.667, 0.333, 0.340)
Be (0.333, 0.667, 0.152)
Be (0.667, 0.333, 0.848)
Ga (0.000, 0.000, 0.500)
Pd (0.835, 0.165, 0.702)
Pd (0.835, 0.671, 0.702)
Pd (0.329, 0.165, 0.702)
Pd (0.671, 0.835, 0.298)
Pd (0.165, 0.329, 0.298)
Pd (0.165, 0.835, 0.298)
Pd (0.500, 0.000, 0.000)
Pd (0.000, 0.500, 0.000)
Pd (0.500, 0.500, 0.000)

=====

What did the second record say?
Material: La2BeGa3Ni12
Method: DFT, GGA-PBE
State: optimized geometry

Values from the calculation:
DFT formation energy: -0.052 eV/atom

Cell: 8.668 8.668 8.668 Å, 42.25 42.25 42.25°
Atoms (fractional coordinates):
La (0.662, 0.662, 0.662)
La (0.338, 0.338, 0.338)
Be (0.000, 0.000, 0.000)
Ga (0.500, 0.000, 0.000)
Ga (0.000, 0.500, 0.000)
Ga (0.000, 0.000, 0.500)
Ni (0.421, 0.421, 0.810)
Ni (0.934, 0.934, 0.333)
Ni (0.333, 0.934, 0.934)
Ni (0.810, 0.421, 0.421)
Ni (0.934, 0.333, 0.934)
Ni (0.421, 0.810, 0.421)
Ni (0.579, 0.579, 0.190)
Ni (0.066, 0.066, 0.667)
Ni (0.667, 0.066, 0.066)
Ni (0.190, 0.579, 0.579)
Ni (0.066, 0.667, 0.066)
Ni (0.579, 0.190, 0.579)